Entry 1:
LiBRuI2: relaxed, PBE.

a = 5.247 Å, b = 5.247 Å, c = 4.567 Å
α = 90.00°, β = 90.00°, γ = 90.00°
Fractional positions:
1 Li 0.000 0.000 0.000
2 B 0.500 0.500 0.500
3 Ru 0.000 0.000 0.500
4 I 0.000 0.500 0.000
5 I 0.500 0.000 0.000

The value obtained for the uncorrected formation energy is 7.7 eV per formula unit. The volume is 25.14 Å³ per atom.

***

Entry 2:
Na2CdHg: relaxed, PBE.

a = 10.698 Å, b = 10.698 Å, c = 10.698 Å
α = 18.48°, β = 18.48°, γ = 18.48°
Fractional positions:
1 Na 0.000 0.000 0.000
2 Na 0.169 0.169 0.169
3 Cd 0.751 0.751 0.751
4 Hg 0.585 0.585 0.585

The volume is 26.87 Å³ per atom. The energy above the lowest structure with this stoichiometry comes out at 0.26 eV per formula unit.

***

Entry 3:
BaZn2CuPt: relaxed, PBE.

a = 4.881 Å, b = 4.881 Å, c = 5.055 Å
α = 90.00°, β = 90.00°, γ = 90.00°
Fractional positions:
1 Ba 0.000 0.000 0.000
2 Zn 0.000 0.500 0.500
3 Zn 0.500 0.000 0.500
4 Cu 0.500 0.500 0.000
5 Pt 0.500 0.500 0.500

The value obtained for the total DFT energy (no corrections) is -16.13 eV/f.u. The volume is 24.09 Å³ per atom.

***

Entry 4:
Mg2Zn4Se3: relaxed, PBE.

a = 9.006 Å, b = 9.006 Å, c = 5.729 Å
α = 91.40°, β = 91.40°, γ = 23.86°
Fractional positions:
1 Mg 0.109 0.109 0.183
2 Mg 0.891 0.891 0.817
3 Zn 0.052 0.052 0.645
4 Zn 0.277 0.277 0.118
5 Zn 0.723 0.723 0.882
6 Zn 0.948 0.948 0.355
7 Se 0.350 0.350 0.485
8 Se 0.500 0.500 0.000
9 Se 0.650 0.650 0.515

The value obtained for the uncorrected formation energy is -3.0 eV per formula unit. The volume is 20.88 Å³ per atom.

***

Entry 5:
HoAl3: relaxed, PBE.

a = 12.447 Å, b = 12.447 Å, c = 12.447 Å
α = 28.33°, β = 28.33°, γ = 28.33°
Fractional positions:
1 Ho 0.000 0.000 0.000
2 Ho 0.131 0.131 0.131
3 Ho 0.400 0.400 0.400
4 Ho 0.600 0.600 0.600
5 Ho 0.869 0.869 0.869
6 Al 0.000 0.500 0.500
7 Al 0.118 0.118 0.566
8 Al 0.118 0.566 0.118
9 Al 0.130 0.636 0.636
10 Al 0.364 0.364 0.870
11 Al 0.364 0.870 0.364
12 Al 0.434 0.882 0.882
13 Al 0.500 0.000 0.500
14 Al 0.500 0.500 0.000
15 Al 0.566 0.118 0.118
16 Al 0.636 0.130 0.636
17 Al 0.636 0.636 0.130
18 Al 0.870 0.364 0.364
19 Al 0.882 0.434 0.882
20 Al 0.882 0.882 0.434

The value obtained for the total DFT energy (no corrections) is -17.50 eV/f.u. The volume is 19.19 Å³ per atom.

***

Entry 6:
CaAl3Zn: relaxed, PBE.

a = 6.443 Å, b = 6.443 Å, c = 6.443 Å
α = 142.09°, β = 142.09°, γ = 54.70°
Fractional positions:
1 Ca 0.000 0.000 0.000
2 Al 0.255 0.755 0.500
3 Al 0.610 0.610 0.000
4 Al 0.755 0.255 0.500
5 Zn 0.392 0.392 0.000

The value obtained for the total DFT energy (no corrections) is -15.86 eV/f.u. The volume is 20.05 Å³ per atom.